No. 1
Material: V5Fe4Os
Method: DFT, GGA-PBE
State: relaxed

Its energy relative to the elements is -0.151 eV per atom.

The space group is P4/mmm (No. 123) and the conventional cell measures 2.9190, 2.9190 and 14.4990 Å, with angles of 90.00, 90.00 and 90.00 degrees. The inequivalent atoms are V at (0.0000, 0.0000, 0.0000), V at (0.0000, 0.0000, 0.1955), V at (0.0000, 0.0000, 0.3904), Fe at (0.5000, 0.5000, 0.0974), Fe at (0.5000, 0.5000, 0.2947) and Os at (0.5000, 0.5000, 0.5000).


No. 2
Material: V3FeOs2
Method: DFT, GGA-PBE
State: relaxed

Its polymorph energy (0 for the lowest one) is 0.0 kJ per mole of atoms. Its energy relative to the elements is -0.232 eV per atom.

The space group is Cmmm (No. 65) and the conventional cell measures 4.2352, 12.6925 and 5.9383 Å, with angles of 90.00, 90.00 and 90.00 degrees. The inequivalent atoms are V at (0.0000, 0.0000, 0.2450), V at (0.0000, 0.3302, 0.2393), Fe at (0.0000, 0.1646, 0.0000), Os at (0.0000, 0.1665, 0.5000), Os at (0.0000, 0.5000, 0.0000) and Os at (0.0000, 0.5000, 0.5000).


No. 3
Material: VFeOs3
Method: DFT, GGA-PBE
State: relaxed

Its polymorph energy (0 for the lowest one) is 14.7 kJ per mole of atoms. Its energy relative to the elements is 1.788 eV per atom.

The space group is Pm-3m (No. 221) and the conventional cell measures 4.4559, 4.4559 and 4.4559 Å, with angles of 90.00, 90.00 and 90.00 degrees. The inequivalent atoms are V at (0.0000, 0.0000, 0.0000), Fe at (0.5000, 0.5000, 0.5000) and Os at (0.0000, 0.0000, 0.5000).


No. 4
Material: VFeOs
Method: DFT, GGA-PBE
State: relaxed

Its polymorph energy (0 for the lowest one) is 0.0 kJ per mole of atoms. Its energy relative to the elements is -0.087 eV per atom.

The space group is I4mm (No. 107) and the conventional cell measures 3.0077, 3.0077 and 8.7547 Å, with angles of 90.00, 90.00 and 90.00 degrees. The inequivalent atoms are V at (0.0000, 0.0000, 0.0000), Fe at (0.0000, 0.0000, 0.3407) and Os at (0.0000, 0.0000, 0.6635).


No. 5
Material: V4FeOs
Method: DFT, GGA-PBE
State: relaxed

Its polymorph energy (0 for the lowest one) is 0.0 kJ per mole of atoms. Its energy relative to the elements is -0.233 eV per atom.

The space group is P4/mmm (No. 123) and the conventional cell measures 2.9496, 2.9496 and 8.9130 Å, with angles of 90.00, 90.00 and 90.00 degrees. The inequivalent atoms are V at (0.0000, 0.0000, 0.1598), V at (0.5000, 0.5000, 0.3252), Fe at (0.5000, 0.5000, 0.0000) and Os at (0.0000, 0.0000, 0.5000).


No. 6
Material: VFeOs
Method: DFT, GGA-PBE
State: relaxed

Its polymorph energy (0 for the lowest one) is 16.6 kJ per mole of atoms. Its energy relative to the elements is 0.085 eV per atom.

The space group is P-6m2 (No. 187) and the conventional cell measures 4.1546, 4.1546 and 2.6156 Å, with angles of 90.00, 90.00 and 120.00 degrees. The inequivalent atoms are V at (0.0000, 0.0000, 0.0000), Fe at (0.3333, 0.6667, 0.5000) and Os at (0.6667, 0.3333, 0.5000).


No. 7
Material: VFeOs2
Method: DFT, GGA-PBE
State: relaxed

Its energy relative to the elements is -0.073 eV per atom.

The space group is P4/mmm (No. 123) and the conventional cell measures 3.8084, 3.8084 and 3.6700 Å, with angles of 90.00, 90.00 and 90.00 degrees. The inequivalent atoms are V at (0.0000, 0.0000, 0.0000), Fe at (0.5000, 0.5000, 0.0000) and Os at (0.0000, 0.5000, 0.5000).


No. 8
Material: VFeOs2
Method: DFT, GGA-PBE
State: relaxed

Its energy relative to the elements is 0.045 eV per atom.

The space group is R3m (No. 160, hexagonal axes) and the conventional cell measures 2.6789, 2.6789 and 25.6928 Å, with angles of 90.00, 90.00 and 120.00 degrees. The inequivalent atoms are V at (0.0000, 0.0000, 0.0000), Fe at (0.0000, 0.0000, 0.1657), Os at (0.0000, 0.0000, 0.4211) and Os at (0.0000, 0.0000, 0.5791).


No. 9
Material: V2FeOs
Method: DFT, GGA-PBE
State: relaxed

Its energy relative to the elements is -0.209 eV per atom.

The space group is P4/mmm (No. 123) and the conventional cell measures 2.9770, 2.9770 and 5.8447 Å, with angles of 90.00, 90.00 and 90.00 degrees. The inequivalent atoms are V at (0.0000, 0.0000, 0.2366), Fe at (0.5000, 0.5000, 0.0000) and Os at (0.5000, 0.5000, 0.5000).


No. 10
Material: V4Fe3Os
Method: DFT, GGA-PBE
State: relaxed

Its energy relative to the elements is -0.159 eV per atom.

The space group is Pmmm (No. 47) and the conventional cell measures 2.9372, 4.1503 and 8.2147 Å, with angles of 90.00, 90.00 and 90.00 degrees. The inequivalent atoms are V at (0.0000, 0.0000, 0.0000), V at (0.0000, 0.0000, 0.5000), V at (0.0000, 0.5000, 0.2387), Fe at (0.5000, 0.0000, 0.2490), Fe at (0.5000, 0.5000, 0.0000) and Os at (0.5000, 0.5000, 0.5000).


No. 11
Material: V3FeOs2
Method: DFT, GGA-PBE
State: relaxed

Its polymorph energy (0 for the lowest one) is 1.0 kJ per mole of atoms. Its energy relative to the elements is -0.221 eV per atom.

The space group is P4/mmm (No. 123) and the conventional cell measures 2.9921, 2.9921 and 8.8624 Å, with angles of 90.00, 90.00 and 90.00 degrees. The inequivalent atoms are V at (0.0000, 0.0000, 0.0000), V at (0.0000, 0.0000, 0.3460), Fe at (0.5000, 0.5000, 0.5000) and Os at (0.5000, 0.5000, 0.1744).


No. 12
Material: VFeOs2
Method: DFT, GGA-PBE
State: relaxed

Its energy relative to the elements is -0.023 eV per atom.

The space group is P4/mmm (No. 123) and the conventional cell measures 3.0265, 3.0265 and 5.9152 Å, with angles of 90.00, 90.00 and 90.00 degrees. The inequivalent atoms are V at (0.0000, 0.0000, 0.0000), Fe at (0.0000, 0.0000, 0.5000) and Os at (0.5000, 0.5000, 0.2510).